(1)
Below is a relaxed structure of SrCeAu, with properties calculated at the GGA-PBE level. Values from VASP.

```
&SYSTEM
  ibrav = 0, nat = 3, ntyp = 3
/
ATOMIC_SPECIES
Sr 87.62 Sr.upf
Ce 140.12 Ce.upf
Au 196.97 Au.upf
ATOMIC_POSITIONS angstrom
Sr 0.0000 0.0000 0.0000
Ce 0.0000 2.9026 2.1768
Au 2.5137 1.4513 2.9073
CELL_PARAMETERS angstrom
5.0274 0.0000 0.0000
-2.5137 4.3538 0.0000
0.0000 0.0000 4.5384
```

Results
Calculated volume   99 Å³/cell
Energy relative to the lowest polymorph listed for this composition   191 meV per atom

(2)
Below is a relaxed structure of SrCeAu, with properties calculated at the GGA-PBE level. Values from VASP.

```
&SYSTEM
  ibrav = 0, nat = 3, ntyp = 3
/
ATOMIC_SPECIES
Sr 87.62 Sr.upf
Ce 140.12 Ce.upf
Au 196.97 Au.upf
ATOMIC_POSITIONS angstrom
Sr 0.0000 0.0000 0.0000
Ce 0.0000 0.0000 3.6270
Au 0.0000 0.0000 8.8808
CELL_PARAMETERS angstrom
-1.9019 1.9019 6.7842
1.9019 -1.9019 6.7842
1.9019 1.9019 -6.7842
```

Results
Calculated volume   98 Å³/cell
Energy relative to the lowest polymorph listed for this composition   0 meV per atom

(3)
Below is a relaxed structure of SrCeAu10, with properties calculated at the GGA-PBE level. Values from VASP.

```
&SYSTEM
  ibrav = 0, nat = 12, ntyp = 3
/
ATOMIC_SPECIES
Sr 87.62 Sr.upf
Ce 140.12 Ce.upf
Au 196.97 Au.upf
ATOMIC_POSITIONS angstrom
Sr 0.0000 0.0000 0.0000
Ce 0.0000 2.8170 4.9107
Au 0.0000 0.0000 3.3136
Au 0.0000 0.0000 6.5077
Au 0.0000 2.8170 1.6711
Au 0.0000 2.8170 8.1502
Au 2.3622 0.0000 4.9107
Au 2.3622 1.4214 2.4906
Au 2.3622 1.4214 7.3307
Au 2.3622 2.8170 0.0000
Au 2.3622 4.2127 2.4906
Au 2.3622 4.2127 7.3307
CELL_PARAMETERS angstrom
4.7244 0.0000 0.0000
0.0000 5.6341 0.0000
0.0000 0.0000 9.8213
```

Results
Calculated volume   261 Å³/cell

(4)
Below is a relaxed structure of SrCeAu, with properties calculated at the GGA-PBE level. Values from VASP.

```
&SYSTEM
  ibrav = 0, nat = 6, ntyp = 3
/
ATOMIC_SPECIES
Sr 87.62 Sr.upf
Ce 140.12 Ce.upf
Au 196.97 Au.upf
ATOMIC_POSITIONS angstrom
Sr 3.2010 0.0000 1.5348
Sr 15.4227 0.0000 4.6248
Ce 0.4421 0.0000 4.2966
Ce 18.1817 0.0000 1.8630
Au 3.3993 0.0000 4.6363
Au 15.2244 0.0000 1.5233
CELL_PARAMETERS angstrom
9.3876 -1.7339 0.0000
9.3876 1.7339 0.0000
-0.1515 0.0000 6.1596
```

Results
Calculated volume   201 Å³/cell
Energy relative to the lowest polymorph listed for this composition   320 meV per atom

(5)
Below is a relaxed structure of SrCeAu2, with properties calculated at the GGA-PBE level. Values from VASP.

```
&SYSTEM
  ibrav = 0, nat = 4, ntyp = 3
/
ATOMIC_SPECIES
Sr 87.62 Sr.upf
Ce 140.12 Ce.upf
Au 196.97 Au.upf
ATOMIC_POSITIONS angstrom
Sr 0.0000 0.0000 0.0000
Ce 0.0000 0.0000 3.7986
Au 1.8885 1.8885 2.1403
Au 1.8885 1.8885 5.4569
CELL_PARAMETERS angstrom
3.7769 0.0000 0.0000
0.0000 3.7769 0.0000
0.0000 0.0000 7.5972
```

Results
Calculated volume   108 Å³/cell

(6)
Below is a relaxed structure of SrCeAu3, with properties calculated at the GGA-PBE level. Values from VASP.

```
&SYSTEM
  ibrav = 0, nat = 10, ntyp = 3
/
ATOMIC_SPECIES
Sr 87.62 Sr.upf
Ce 140.12 Ce.upf
Au 196.97 Au.upf
ATOMIC_POSITIONS angstrom
Sr 1.9755 12.3003 3.4929
Sr 1.9755 -12.3003 1.1643
Ce 1.9755 8.5161 1.1643
Ce 1.9755 -8.5161 3.4929
Au 1.9755 5.3971 1.1643
Au 1.9755 3.5358 3.4929
Au 1.9755 0.7597 3.4929
Au 1.9755 -0.7597 1.1643
Au 1.9755 -3.5358 1.1643
Au 1.9755 -5.3971 3.4929
CELL_PARAMETERS angstrom
1.9755 -14.3952 0.0000
1.9755 14.3952 0.0000
0.0000 0.0000 4.6572
```

Results
Calculated volume   265 Å³/cell

(7)
Below is a relaxed structure of SrCe3Au4, with properties calculated at the GGA-PBE level. Values from VASP.

```
&SYSTEM
  ibrav = 0, nat = 8, ntyp = 3
/
ATOMIC_SPECIES
Sr 87.62 Sr.upf
Ce 140.12 Ce.upf
Au 196.97 Au.upf
ATOMIC_POSITIONS angstrom
Sr 0.0000 0.0000 0.0000
Ce 0.0000 0.0000 3.7040
Ce 2.6507 2.6507 0.0000
Ce 2.6507 2.6507 3.7040
Au 0.0000 2.6507 1.9558
Au 0.0000 2.6507 5.4523
Au 2.6507 0.0000 1.9558
Au 2.6507 0.0000 5.4523
CELL_PARAMETERS angstrom
5.3014 0.0000 0.0000
0.0000 5.3014 0.0000
0.0000 0.0000 7.4080
```

Results
Calculated volume   208 Å³/cell

(8)
Below is a relaxed structure of SrCeAu4, with properties calculated at the GGA-PBE level. Values from VASP.

```
&SYSTEM
  ibrav = 0, nat = 6, ntyp = 3
/
ATOMIC_SPECIES
Sr 87.62 Sr.upf
Ce 140.12 Ce.upf
Au 196.97 Au.upf
ATOMIC_POSITIONS angstrom
Sr 0.0000 0.0000 0.0000
Ce 2.0687 0.0000 4.5523
Au 0.0000 0.0000 7.7228
Au 0.0000 0.0000 10.4865
Au 0.0000 2.0687 3.1778
Au 0.0000 2.0687 5.9268
CELL_PARAMETERS angstrom
-2.0687 2.0687 9.1047
2.0687 -2.0687 9.1047
2.0687 2.0687 -9.1047
```

Results
Calculated volume   156 Å³/cell
Energy relative to the lowest polymorph listed for this composition   0 meV per atom

(9)
Below is a relaxed structure of SrCeAu4, with properties calculated at the GGA-PBE level. Values from VASP.

```
&SYSTEM
  ibrav = 0, nat = 6, ntyp = 3
/
ATOMIC_SPECIES
Sr 87.62 Sr.upf
Ce 140.12 Ce.upf
Au 196.97 Au.upf
ATOMIC_POSITIONS angstrom
Sr 0.0000 0.0000 0.0000
Ce 2.0525 2.0525 2.0525
Au 5.1332 3.0768 3.0768
Au 3.0768 5.1332 3.0768
Au 3.0768 3.0768 5.1332
Au 5.1332 5.1332 5.1332
CELL_PARAMETERS angstrom
0.0000 4.1050 4.1050
4.1050 0.0000 4.1050
4.1050 4.1050 0.0000
```

Results
Calculated volume   138 Å³/cell
Energy relative to the lowest polymorph listed for this composition   160 meV per atom

(10)
Below is a relaxed structure of SrCeAu2, with properties calculated at the GGA-PBE level. Values from VASP.

```
&SYSTEM
  ibrav = 0, nat = 4, ntyp = 3
/
ATOMIC_SPECIES
Sr 87.62 Sr.upf
Ce 140.12 Ce.upf
Au 196.97 Au.upf
ATOMIC_POSITIONS angstrom
Sr 0.0000 0.0000 0.0000
Ce 0.0000 0.0000 19.1448
Au 0.0000 0.0000 5.5480
Au 0.0000 0.0000 9.7259
CELL_PARAMETERS angstrom
2.1445 1.2381 7.6954
-2.1445 1.2381 7.6954
0.0000 -2.4763 7.6954
```

Results
Calculated volume   123 Å³/cell

(11)
Below is a relaxed structure of SrCeTlAu, with properties calculated at the GGA-PBE level. Values from VASP.

```
&SYSTEM
  ibrav = 0, nat = 4, ntyp = 4
/
ATOMIC_SPECIES
Sr 87.62 Sr.upf
Ce 140.12 Ce.upf
Tl 204.38 Tl.upf
Au 196.97 Au.upf
ATOMIC_POSITIONS angstrom
Sr 0.0000 0.0000 0.0000
Ce 3.8741 3.8741 3.8741
Tl 1.9371 1.9371 1.9371
Au 5.8112 5.8112 5.8112
CELL_PARAMETERS angstrom
0.0000 3.8741 3.8741
3.8741 0.0000 3.8741
3.8741 3.8741 0.0000
```

Results
Calculated volume   116 Å³/cell

(12)
Below is a relaxed structure of SrCeZnAu, with properties calculated at the GGA-PBE level. Values from VASP.

```
&SYSTEM
  ibrav = 0, nat = 4, ntyp = 4
/
ATOMIC_SPECIES
Sr 87.62 Sr.upf
Ce 140.12 Ce.upf
Zn 65.41 Zn.upf
Au 196.97 Au.upf
ATOMIC_POSITIONS angstrom
Sr 0.0000 0.0000 0.0000
Ce 3.7598 3.7598 3.7598
Zn 5.6397 5.6397 5.6397
Au 1.8799 1.8799 1.8799
CELL_PARAMETERS angstrom
0.0000 3.7598 3.7598
3.7598 0.0000 3.7598
3.7598 3.7598 0.0000
```

Results
Calculated volume   106 Å³/cell

(13)
Below is a relaxed structure of Ce2TaAu, with properties calculated at the GGA-PBE level. Values from VASP.

```
&SYSTEM
  ibrav = 0, nat = 4, ntyp = 3
/
ATOMIC_SPECIES
Ce 140.12 Ce.upf
Ta 180.95 Ta.upf
Au 196.97 Au.upf
ATOMIC_POSITIONS angstrom
Ce 0.0000 0.0000 2.8729
Ce 0.0000 0.0000 30.7275
Ta 0.0000 0.0000 0.0000
Au 0.0000 0.0000 16.8002
CELL_PARAMETERS angstrom
1.5076 0.8704 11.2001
-1.5076 0.8704 11.2001
0.0000 -1.7409 11.2001
```

Results
Calculated volume   88 Å³/cell

(14)
Below is a relaxed structure of TbCe2Au3, with properties calculated at the GGA-PBE level. Values from VASP.

```
&SYSTEM
  ibrav = 0, nat = 6, ntyp = 3
/
ATOMIC_SPECIES
Tb 158.93 Tb.upf
Ce 140.12 Ce.upf
Au 196.97 Au.upf
ATOMIC_POSITIONS angstrom
Tb 0.0000 0.0000 0.0000
Ce 0.0000 0.0000 3.7408
Ce 0.0000 0.0000 7.5668
Au 1.8083 1.8083 1.7436
Au 1.8083 1.8083 5.6538
Au 1.8083 1.8083 9.5640
CELL_PARAMETERS angstrom
3.6166 0.0000 0.0000
0.0000 3.6166 0.0000
0.0000 0.0000 11.3076
```

Results
Calculated volume   148 Å³/cell

(15)
Below is a relaxed structure of TbCeAu, with properties calculated at the GGA-PBE level. Values from VASP.

```
&SYSTEM
  ibrav = 0, nat = 3, ntyp = 3
/
ATOMIC_SPECIES
Tb 158.93 Tb.upf
Ce 140.12 Ce.upf
Au 196.97 Au.upf
ATOMIC_POSITIONS angstrom
Tb 0.0000 0.0000 0.0000
Ce 3.5626 3.5626 3.5626
Au 1.7813 1.7813 1.7813
CELL_PARAMETERS angstrom
0.0000 3.5626 3.5626
3.5626 0.0000 3.5626
3.5626 3.5626 0.0000
```

Results
Calculated volume   90 Å³/cell
Energy relative to the lowest polymorph listed for this composition   135 meV per atom

(16)
Below is a relaxed structure of TbCe2Au4, with properties calculated at the GGA-PBE level. Values from VASP.

```
&SYSTEM
  ibrav = 0, nat = 7, ntyp = 3
/
ATOMIC_SPECIES
Tb 158.93 Tb.upf
Ce 140.12 Ce.upf
Au 196.97 Au.upf
ATOMIC_POSITIONS angstrom
Tb 0.0000 0.0000 0.0000
Ce 0.0000 0.0000 3.6709
Ce 0.0000 0.0000 9.4368
Au 2.6379 0.0000 1.5087
Au 2.6379 0.0000 5.0452
Au 0.0000 2.6379 1.5087
Au 0.0000 2.6379 5.0452
CELL_PARAMETERS angstrom
-2.6379 2.6379 6.5539
2.6379 -2.6379 6.5539
2.6379 2.6379 -6.5539
```

Results
Calculated volume   182 Å³/cell

(17)
Below is a relaxed structure of TbCeAu, with properties calculated at the GGA-PBE level. Values from VASP.

```
&SYSTEM
  ibrav = 0, nat = 6, ntyp = 3
/
ATOMIC_SPECIES
Tb 158.93 Tb.upf
Ce 140.12 Ce.upf
Au 196.97 Au.upf
ATOMIC_POSITIONS angstrom
Tb 1.3961 0.0000 1.0174
Tb 4.1704 0.0000 6.9447
Ce 1.3864 0.0000 4.5811
Ce 4.1801 0.0000 3.3811
Au -1.4044 0.0000 5.7755
Au 6.9709 0.0000 2.1866
CELL_PARAMETERS angstrom
4.1824 -2.4192 0.0000
4.1824 2.4192 0.0000
-2.7982 0.0000 7.9621
```

Results
Calculated volume   161 Å³/cell
Energy relative to the lowest polymorph listed for this composition   0 meV per atom

(18)
Below is a relaxed structure of Tb2CeAu3, with properties calculated at the GGA-PBE level. Values from VASP.

```
&SYSTEM
  ibrav = 0, nat = 6, ntyp = 3
/
ATOMIC_SPECIES
Tb 158.93 Tb.upf
Ce 140.12 Ce.upf
Au 196.97 Au.upf
ATOMIC_POSITIONS angstrom
Tb 0.0000 0.0000 1.8190
Tb 0.0000 0.0000 9.3218
Ce 0.0000 0.0000 5.5704
Au 1.8040 1.8040 0.0000
Au 1.8040 1.8040 3.5633
Au 1.8040 1.8040 7.5775
CELL_PARAMETERS angstrom
3.6080 0.0000 0.0000
0.0000 3.6080 0.0000
0.0000 0.0000 11.1408
```

Results
Calculated volume   145 Å³/cell

(19)
Below is a relaxed structure of TbCeAu2, with properties calculated at the GGA-PBE level. Values from VASP.

```
&SYSTEM
  ibrav = 0, nat = 4, ntyp = 3
/
ATOMIC_SPECIES
Tb 158.93 Tb.upf
Ce 140.12 Ce.upf
Au 196.97 Au.upf
ATOMIC_POSITIONS angstrom
Tb 0.0000 0.0000 0.0000
Ce 2.3655 0.0000 3.0968
Au 0.0000 0.0000 8.1400
Au 2.3655 0.0000 6.1629
CELL_PARAMETERS angstrom
4.7311 0.0000 0.0000
0.0000 1.9045 5.5991
0.0000 -1.9045 5.5991
```

Results
Calculated volume   101 Å³/cell

(20)
Below is a relaxed structure of TbCe3Au7, with properties calculated at the GGA-PBE level. Values from VASP.

```
&SYSTEM
  ibrav = 0, nat = 22, ntyp = 3
/
ATOMIC_SPECIES
Tb 158.93 Tb.upf
Ce 140.12 Ce.upf
Au 196.97 Au.upf
ATOMIC_POSITIONS angstrom
Tb 1.8804 11.0080 9.7144
Tb 1.8804 -11.0080 3.2381
Ce 1.8804 7.9998 0.8006
Ce 1.8804 7.9998 5.6757
Ce 1.8804 6.8264 9.7144
Ce 1.8804 -6.8264 3.2381
Ce 1.8804 -7.9998 7.2769
Ce 1.8804 -7.9998 12.1520
Au 1.8804 4.9436 0.9009
Au 1.8804 4.9436 5.5754
Au 1.8804 2.6429 9.7144
Au 1.8804 2.1725 1.7481
Au 1.8804 2.1725 4.7282
Au 1.8804 0.7686 7.5486
Au 1.8804 0.7686 11.8803
Au 1.8804 -0.7686 1.0723
Au 1.8804 -0.7686 5.4040
Au 1.8804 -2.1725 8.2244
Au 1.8804 -2.1725 11.2045
Au 1.8804 -2.6429 3.2381
Au 1.8804 -4.9436 7.3772
Au 1.8804 -4.9436 12.0517
CELL_PARAMETERS angstrom
1.8804 -11.1528 0.0000
1.8804 11.1528 0.0000
0.0000 0.0000 12.9526
```

Results
Calculated volume   543 Å³/cell

Per-record ΔH_f (0 K), eV/f.u.: -0.44; -1.01; -4.71; -0.05; -2.71; -3.51; -4.91; -3.74; -2.78; -2.32; -1.69; -1.46; 0.85; -4.07; -0.82; -3.96; -1.23; -4.59; -3.01; -6.86
Per-record DOS(E_F), states/eV/atom: 2.99; 2.39; 1.08; 2.09; 2.12; 1.59; 2.78; 1.65; 2.02; 2.19; 2.36; 2.18; 1.70; 2.47; 3.14; 2.61; 1.70; 1.46; 1.57; 2.02